Entry from the Alexandria database: HoPdPtAu after structural relaxation (PBE).

Computed properties:
Size of the total moment (μB/f.u.): 0.0
Relative energy among the computed polymorphs (kcal/mol of atoms): 3.03

CIF file:
```
data_HoPdPtAu
_cell_length_a 6.672
_cell_length_b 6.672
_cell_length_c 6.672
_cell_angle_alpha 90.00
_cell_angle_beta 90.00
_cell_angle_gamma 90.00
_symmetry_space_group_name_H-M 'F -4 3 m'
_symmetry_Int_Tables_number 216
_symmetry_space_group_name_Hall 'F -4 2 3'
loop_
_atom_site_label
_atom_site_type_symbol
_atom_site_fract_x
_atom_site_fract_y
_atom_site_fract_z
Ho1 Ho 0.000 0.000 0.000
Pd1 Pd 0.250 0.250 0.250
Pt1 Pt 0.250 0.250 0.750
Au1 Au 0.000 0.000 0.500
```

Entry from the Alexandria database: HoPd2PtAu after structural relaxation (PBE).

Computed properties:
Size of the total moment (μB/f.u.): 0.0
Energy (Ry per atom): -0.4042

CIF file:
```
data_HoPd2PtAu
_cell_length_a 6.485
_cell_length_b 4.271
_cell_length_c 6.786
_cell_angle_alpha 90.00
_cell_angle_beta 100.42
_cell_angle_gamma 90.00
_symmetry_space_group_name_H-M 'P 1 21/m 1'
_symmetry_Int_Tables_number 11
_symmetry_space_group_name_Hall '-P 2yb'
loop_
_atom_site_label
_atom_site_type_symbol
_atom_site_fract_x
_atom_site_fract_y
_atom_site_fract_z
Ho1 Ho 0.188 0.250 0.220
Pd1 Pd 0.171 0.750 0.539
Pd2 Pd 0.476 0.250 0.632
Pt1 Pt 0.123 0.250 0.791
Au1 Au 0.367 0.750 0.942
```

Entry from the Alexandria database: HoSb2Pd7Au2 after structural relaxation (PBE).

Computed properties:
Size of the total moment (μB/f.u.): 0.0
Formation energy (no corrections) (eV per atom): -0.4200

CIF file:
```
data_HoSb2Pd7Au2
_cell_length_a 5.871
_cell_length_b 5.776
_cell_length_c 12.827
_cell_angle_alpha 90.00
_cell_angle_beta 90.03
_cell_angle_gamma 90.00
_symmetry_space_group_name_H-M 'C 1 2/m 1'
_symmetry_Int_Tables_number 12
_symmetry_space_group_name_Hall '-C 2y'
loop_
_atom_site_label
_atom_site_type_symbol
_atom_site_fract_x
_atom_site_fract_y
_atom_site_fract_z
Ho1 Ho 0.000 0.000 0.000
Sb1 Sb 0.001 0.000 0.327
Pd1 Pd 0.000 0.500 0.000
Pd2 Pd 0.248 0.500 0.500
Pd3 Pd 0.249 0.250 0.161
Au1 Au 0.000 0.500 0.313
```

Entry from the Alexandria database: HoSbPdAu after structural relaxation (PBE).

Computed properties:
Size of the total moment (μB/f.u.): 0.0
Formation energy (no corrections) (eV per atom): -0.6972

CIF file:
```
data_HoSbPdAu
_cell_length_a 6.936
_cell_length_b 6.936
_cell_length_c 6.936
_cell_angle_alpha 90.00
_cell_angle_beta 90.00
_cell_angle_gamma 90.00
_symmetry_space_group_name_H-M 'F -4 3 m'
_symmetry_Int_Tables_number 216
_symmetry_space_group_name_Hall 'F -4 2 3'
loop_
_atom_site_label
_atom_site_type_symbol
_atom_site_fract_x
_atom_site_fract_y
_atom_site_fract_z
Ho1 Ho 0.000 0.000 0.000
Sb1 Sb 0.000 0.000 0.500
Pd1 Pd 0.250 0.250 0.750
Au1 Au 0.250 0.250 0.250
```

Entry from the Alexandria database: SmHoPdAu after structural relaxation (PBE).

Computed properties:
Size of the total moment (μB/f.u.): 0.0
Relative energy among the computed polymorphs (kcal/mol of atoms): 1.10

CIF file:
```
data_SmHoPdAu
_cell_length_a 7.173
_cell_length_b 7.173
_cell_length_c 7.173
_cell_angle_alpha 90.00
_cell_angle_beta 90.00
_cell_angle_gamma 90.00
_symmetry_space_group_name_H-M 'F -4 3 m'
_symmetry_Int_Tables_number 216
_symmetry_space_group_name_Hall 'F -4 2 3'
loop_
_atom_site_label
_atom_site_type_symbol
_atom_site_fract_x
_atom_site_fract_y
_atom_site_fract_z
Sm1 Sm 0.000 0.000 0.000
Ho1 Ho 0.000 0.000 0.500
Pd1 Pd 0.250 0.250 0.250
Au1 Au 0.250 0.250 0.750
```

Entry from the Alexandria database: SmHoPdAu after structural relaxation (PBE).

Computed properties:
Size of the total moment (μB/f.u.): 0.0
Relative energy among the computed polymorphs (kcal/mol of atoms): 0.00

CIF file:
```
data_SmHoPdAu
_cell_length_a 4.713
_cell_length_b 3.788
_cell_length_c 10.700
_cell_angle_alpha 90.00
_cell_angle_beta 90.00
_cell_angle_gamma 90.00
_symmetry_space_group_name_H-M 'A m m 2'
_symmetry_Int_Tables_number 38
_symmetry_space_group_name_Hall 'A 2 -2'
loop_
_atom_site_label
_atom_site_type_symbol
_atom_site_fract_x
_atom_site_fract_y
_atom_site_fract_z
Sm1 Sm 0.000 0.000 0.000
Ho1 Ho 0.500 0.000 0.724
Pd1 Pd 0.000 0.000 0.273
Au1 Au 0.500 0.000 0.444
```

no.,N(E_F) (states/eV per cell)
1,4.42
2,4.06
3,9.68
4,8.89
5,11.68
6,4.31